[1]
Compound: Al2AsPt
Source: Alexandria via LeMat-Bulk
Functional: GGA-PBE
Structure: optimized geometry

Cell: 3.5847 3.5847 5.4028 Å, 90.00 90.00 90.00°
Space group P4mm (No. 99)
Inequivalent atoms, fractional coordinates:
Al: 0.0000 0.0000 0.0000 (multiplicity 1)
Al: 0.5000 0.5000 0.3625 (multiplicity 1)
As: 0.0000 0.0000 0.4932 (multiplicity 1)
Pt: 0.5000 0.5000 0.9026 (multiplicity 1)

Properties
**Total moment**: 0.000 Bohr magnetons per cell
**Formation energy**: -0.402 eV per atom
**Calculated volume**: 69 Å³/f.u.
**Mass density**: 7749 kg/m³

---

[2]
Compound: AlAsPt
Source: Alexandria via LeMat-Bulk
Functional: GGA-PBE
Structure: optimized geometry

Cell: 4.1067 4.1141 11.9174 Å, 90.00 90.00 90.00°
Space group Fmm2 (No. 42)
Inequivalent atoms, fractional coordinates:
Al: 0.0000 0.0000 0.0000 (multiplicity 4)
As: 0.0000 0.0000 0.3174 (multiplicity 4)
Pt: 0.0000 0.0000 0.6288 (multiplicity 4)

Properties
**Total moment**: 0.000 Bohr magnetons per cell
**Formation energy**: -0.283 eV per atom
**Calculated volume**: 50 Å³/f.u.
**Mass density**: 9797 kg/m³

---

[3]
Compound: AlSnAs2Pt
Source: Alexandria via LeMat-Bulk
Functional: GGA-PBE
Structure: optimized geometry

Cell: 5.1660 5.1660 5.0544 Å, 90.00 90.00 90.00°
Space group P4/mmm (No. 123)
Inequivalent atoms, fractional coordinates:
Al: 0.0000 0.0000 0.0000 (multiplicity 1)
Sn: 0.0000 0.0000 0.5000 (multiplicity 1)
As: 0.0000 0.5000 0.5000 (multiplicity 2)
Pt: 0.5000 0.5000 0.0000 (multiplicity 1)

Properties
**Total moment**: 0.000 Bohr magnetons per cell
**Formation energy**: 1.241 eV per atom
**Calculated volume**: 135 Å³/f.u.
**Mass density**: 6040 kg/m³

---

[4]
Compound: Sr2AlAsPt6
Source: Alexandria via LeMat-Bulk
Functional: GGA-PBE
Structure: optimized geometry

Cell: 6.6876 6.7100 6.7526 Å, 90.39 119.63 119.62°
Space group P-1 (No. 2)
Inequivalent atoms, fractional coordinates:
Sr: 0.0794 0.2106 0.2898 (multiplicity 2)
Al: 0.5000 0.5000 0.0000 (multiplicity 1)
As: 0.5000 0.0000 0.5000 (multiplicity 1)
Pt: 0.0052 0.6500 0.2555 (multiplicity 2)
Pt: 0.3921 0.7515 0.1461 (multiplicity 2)
Pt: 0.3985 0.7525 0.7480 (multiplicity 2)

Properties
**Total moment**: 0.000 Bohr magnetons per cell
**Formation energy**: -0.735 eV per atom
**Calculated volume**: 216 Å³/f.u.
**Mass density**: 11132 kg/m³

---

[5]
Compound: Ta2AlAsPt
Source: Alexandria via LeMat-Bulk
Functional: GGA-PBE
Structure: optimized geometry

Cell: 4.8067 4.8067 4.3887 Å, 90.00 90.00 90.00°
Space group P4/mmm (No. 123)
Inequivalent atoms, fractional coordinates:
Ta: 0.0000 0.5000 0.0000 (multiplicity 2)
Al: 0.0000 0.0000 0.0000 (multiplicity 1)
As: 0.5000 0.5000 0.5000 (multiplicity 1)
Pt: 0.0000 0.0000 0.5000 (multiplicity 1)

Properties
**Total moment**: 0.000 Bohr magnetons per cell
**Formation energy**: 1.052 eV per atom
**Calculated volume**: 101 Å³/f.u.
**Mass density**: 10790 kg/m³

---

[6]
Compound: AlTcAs2Pt
Source: Alexandria via LeMat-Bulk
Functional: GGA-PBE
Structure: optimized geometry

Cell: 4.6866 4.6866 5.0892 Å, 90.00 90.00 90.00°
Space group P4/mmm (No. 123)
Inequivalent atoms, fractional coordinates:
Al: 0.0000 0.0000 0.0000 (multiplicity 1)
Tc: 0.5000 0.5000 0.5000 (multiplicity 1)
As: 0.0000 0.5000 0.5000 (multiplicity 2)
Pt: 0.5000 0.5000 0.0000 (multiplicity 1)

Properties
**Total moment**: 0.000 Bohr magnetons per cell
**Formation energy**: 0.577 eV per atom
**Calculated volume**: 112 Å³/f.u.
**Mass density**: 6981 kg/m³

---

[7]
Compound: Pu2AlAs
Source: Alexandria via LeMat-Bulk
Functional: GGA-PBE
Structure: optimized geometry

Cell: 4.5562 4.5562 4.2057 Å, 90.00 90.00 90.00°
Space group P4/mmm (No. 123)
Inequivalent atoms, fractional coordinates:
Pu: 0.0000 0.5000 0.0000 (multiplicity 2)
Al: 0.0000 0.0000 0.5000 (multiplicity 1)
As: 0.5000 0.5000 0.5000 (multiplicity 1)

Properties
**Total moment**: 11.577 Bohr magnetons per cell
**Formation energy**: -0.454 eV per atom
**Calculated volume**: 87 Å³/f.u.
**Mass density**: 11220 kg/m³
**Offset from the most stable computed form**: 0.000 eV/atom

---

[8]
Compound: PuAlAs2
Source: Alexandria via LeMat-Bulk
Functional: GGA-PBE
Structure: optimized geometry

Cell: 4.4892 4.4892 3.8340 Å, 90.00 90.00 90.00°
Space group P4/mmm (No. 123)
Inequivalent atoms, fractional coordinates:
Pu: 0.0000 0.0000 0.0000 (multiplicity 1)
Al: 0.5000 0.5000 0.0000 (multiplicity 1)
As: 0.0000 0.5000 0.5000 (multiplicity 2)

Properties
**Total moment**: 4.768 Bohr magnetons per cell
**Formation energy**: -0.541 eV per atom
**Calculated volume**: 77 Å³/f.u.
**Mass density**: 9044 kg/m³

---

[9]
Compound: PuAlAs2
Source: Alexandria via LeMat-Bulk
Functional: GGA-PBE
Structure: optimized geometry

Cell: 3.3899 3.3899 27.7212 Å, 90.00 90.00 120.00°
Space group R-3m (No. 166, hexagonal axes)
Inequivalent atoms, fractional coordinates:
Pu: 0.0000 0.0000 0.0000 (multiplicity 3)
Al: 0.0000 0.0000 0.5000 (multiplicity 3)
As: 0.0000 0.0000 0.1051 (multiplicity 6)

Properties
**Total moment**: 18.564 Bohr magnetons per cell
**Formation energy**: 0.038 eV per atom
**Calculated volume**: 92 Å³/f.u.
**Mass density**: 7599 kg/m³

---

[10]
Compound: Pu2AlAs
Source: Alexandria via LeMat-Bulk
Functional: GGA-PBE
Structure: optimized geometry

Cell: 3.2559 3.2559 8.3671 Å, 90.00 90.00 90.00°
Space group P4/mmm (No. 123)
Inequivalent atoms, fractional coordinates:
Pu: 0.0000 0.0000 0.2337 (multiplicity 2)
Al: 0.5000 0.5000 0.5000 (multiplicity 1)
As: 0.5000 0.5000 0.0000 (multiplicity 1)

Properties
**Total moment**: 11.054 Bohr magnetons per cell
**Formation energy**: -0.432 eV per atom
**Calculated volume**: 89 Å³/f.u.
**Mass density**: 11044 kg/m³
**Offset from the most stable computed form**: 0.022 eV/atom

---

[11]
Compound: Sr2PuAl2As4
Source: Alexandria via LeMat-Bulk
Functional: GGA-PBE
Structure: optimized geometry

Cell: 15.3420 4.1759 7.4620 Å, 90.00 108.29 90.00°
Space group C2/m (No. 12)
Inequivalent atoms, fractional coordinates:
Sr: 0.1276 0.0000 0.0542 (multiplicity 4)
Pu: 0.0000 0.0000 0.5000 (multiplicity 2)
Al: 0.1705 0.5000 0.4884 (multiplicity 4)
As: 0.0205 0.5000 0.2383 (multiplicity 4)
As: 0.2117 0.0000 0.6964 (multiplicity 4)

Properties
**Total moment**: 11.465 Bohr magnetons per cell
**Formation energy**: -0.847 eV per atom
**Calculated volume**: 227 Å³/f.u.
**Mass density**: 5655 kg/m³

---

[12]
Compound: Rb2Al2As
Source: Alexandria via LeMat-Bulk
Functional: GGA-PBE
Structure: optimized geometry

Cell: 11.0517 11.0517 2.9697 Å, 90.00 90.00 90.00°
Space group P4/mbm (No. 127)
Inequivalent atoms, fractional coordinates:
Rb: 0.2096 0.2904 0.0000 (multiplicity 4)
Al: 0.0813 0.5813 0.5000 (multiplicity 4)
As: 0.0000 0.0000 0.0000 (multiplicity 2)

Properties
**Total moment**: 0.000 Bohr magnetons per cell
**Formation energy**: 0.566 eV per atom
**Calculated volume**: 181 Å³/f.u.
**Mass density**: 2745 kg/m³
**Offset from the most stable computed form**: 0.389 eV/atom

---

[13]
Compound: Rb2Al2As
Source: Alexandria via LeMat-Bulk
Functional: GGA-PBE
Structure: optimized geometry

Cell: 3.7745 3.7745 23.6113 Å, 90.00 90.00 90.00°
Space group I4/mmm (No. 139)
Inequivalent atoms, fractional coordinates:
Rb: 0.0000 0.0000 0.0972 (multiplicity 4)
Al: 0.0000 0.5000 0.2500 (multiplicity 4)
As: 0.0000 0.0000 0.5000 (multiplicity 2)

Properties
**Total moment**: 0.000 Bohr magnetons per cell
**Formation energy**: 0.177 eV per atom
**Calculated volume**: 168 Å³/f.u.
**Mass density**: 2960 kg/m³
**Offset from the most stable computed form**: 0.000 eV/atom